Entry 1:
! Sr3Ta PBE-GGA relaxed; values from VASP
&SYSTEM
  ibrav = 0, nat = 4, ntyp = 2
/
ATOMIC_SPECIES
Sr 87.62 Sr.upf
Ta 180.95 Ta.upf
CELL_PARAMETERS angstrom
3.567 0.000 0.000
0.000 5.972 0.000
0.000 0.000 6.934
ATOMIC_POSITIONS angstrom
Sr 0.000 0.000 0.325
Sr 1.783 2.986 5.642
Sr 1.783 0.000 3.475
Ta 0.000 2.986 2.116
! distance to the lowest polymorph of the same formula	430	meV/atom
! formation energy from the elements	0.911	eV per atom
! total DFT energy (no corrections)	-0.244	Ry/atom
! N(E_F)	3.90	states/eV/f.u.

Entry 2:
! CaBeZnHS PBE-GGA relaxed; values from VASP
&SYSTEM
  ibrav = 0, nat = 5, ntyp = 5
/
ATOMIC_SPECIES
Zn 65.41 Zn.upf
H 1.01 H.upf
Be 9.01 Be.upf
S 32.06 S.upf
Ca 40.08 Ca.upf
CELL_PARAMETERS angstrom
4.462 0.000 0.009
0.000 3.651 0.000
-1.425 0.000 4.918
ATOMIC_POSITIONS angstrom
Zn 3.144 0.000 2.548
H -0.419 0.000 4.549
Be 0.795 0.000 3.735
S 1.749 1.826 4.261
Ca 0.953 1.826 1.070
! distance to the lowest polymorph of the same formula	83	meV/atom
! total DFT energy (no corrections)	-0.249	Ry/atom
! N(E_F)	1.24	states/eV/f.u.

Entry 3:
! CrTc4Hg PBE-GGA relaxed; values from VASP
&SYSTEM
  ibrav = 0, nat = 6, ntyp = 3
/
ATOMIC_SPECIES
Tc 98.00 Tc.upf
Cr 52.00 Cr.upf
Hg 200.59 Hg.upf
CELL_PARAMETERS angstrom
-3.355 -0.174 3.913
-3.784 3.491 0.309
-4.887 -1.411 -0.854
ATOMIC_POSITIONS angstrom
Tc -6.955 0.008 0.834
Tc -4.507 0.715 1.262
Tc -6.188 0.628 3.222
Cr -9.019 1.430 2.526
Tc -6.402 2.463 1.417
Hg 0.000 0.000 0.000
! formation energy from the elements	0.527	eV per atom
! total DFT energy (no corrections)	-0.591	Ry/atom
! N(E_F)	5.89	states/eV/f.u.

Entry 4:
! KTlTc4 PBE-GGA relaxed; values from VASP
&SYSTEM
  ibrav = 0, nat = 6, ntyp = 3
/
ATOMIC_SPECIES
Tc 98.00 Tc.upf
Tl 204.38 Tl.upf
K 39.10 K.upf
CELL_PARAMETERS angstrom
-2.278 2.181 4.364
-5.087 -1.218 1.275
-1.037 -3.058 4.308
ATOMIC_POSITIONS angstrom
Tc -5.686 -1.393 4.371
Tl -6.302 -1.571 7.460
Tc -4.290 0.297 5.907
Tc -3.157 -0.787 3.737
Tc -3.673 -2.308 5.879
K 0.000 0.000 0.000
! formation energy from the elements	0.935	eV per atom
! total DFT energy (no corrections)	-0.482	Ry/atom
! N(E_F)	5.41	states/eV/f.u.

Entry 5:
! ReCl3 PBE-GGA relaxed; values from VASP
&SYSTEM
  ibrav = 0, nat = 4, ntyp = 2
/
ATOMIC_SPECIES
Re 186.21 Re.upf
Cl 35.45 Cl.upf
CELL_PARAMETERS angstrom
-3.643 4.249 4.764
0.624 1.650 7.135
2.120 -0.474 -7.022
ATOMIC_POSITIONS angstrom
Re -0.762 1.887 -1.129
Cl -1.934 3.778 7.621
Cl -1.085 2.121 4.278
Cl 1.372 0.588 0.057
! distance to the lowest polymorph of the same formula	696	meV/atom
! formation energy (no corrections)	23	meV per atom
! total DFT energy (no corrections)	-0.329	Ry/atom
! N(E_F)	2.46	states/eV/f.u.

Entry 6:
! NaLiTl2Te2 PBE-GGA relaxed; values from VASP
&SYSTEM
  ibrav = 0, nat = 12, ntyp = 4
/
ATOMIC_SPECIES
Tl 204.38 Tl.upf
Na 22.99 Na.upf
Li 6.94 Li.upf
Te 127.60 Te.upf
CELL_PARAMETERS angstrom
-5.270 -4.767 0.472
0.170 -0.880 -6.981
7.566 -2.641 4.065
ATOMIC_POSITIONS angstrom
Tl -2.156 -5.835 -2.865
Tl 0.348 -3.053 0.393
Na 0.043 -0.220 -1.745
Tl 4.622 -2.454 0.422
Li -2.593 -2.604 -1.509
Te 5.166 -3.627 -2.965
Na 0.128 -0.660 -5.236
Te -0.259 -2.971 -3.180
Li -2.507 -3.044 -5.000
Te -2.700 -4.662 0.522
Te 2.725 -5.317 0.737
Tl 2.118 -5.236 -2.836
! formation energy (no corrections)	-620	meV per atom
! total DFT energy (no corrections)	-0.220	Ry/atom

Entry 7:
! Tb2SmTmSc PBE-GGA relaxed; values from VASP
&SYSTEM
  ibrav = 0, nat = 10, ntyp = 4
/
ATOMIC_SPECIES
Tb 158.93 Tb.upf
Sm 150.36 Sm.upf
Sc 44.96 Sc.upf
Tm 168.93 Tm.upf
CELL_PARAMETERS angstrom
-4.019 -3.876 -2.993
4.182 -0.709 -4.698
1.099 -5.871 6.129
ATOMIC_POSITIONS angstrom
Tb 3.143 -0.533 -3.530
Tb 1.040 -0.176 -1.168
Sm -0.855 -7.122 0.315
Sm 2.116 -3.334 -1.877
Sc -2.028 -4.831 -1.076
Sc 3.290 -5.625 -0.486
Tm 0.591 -4.084 1.143
Tb 1.133 -2.471 -5.026
Tb -0.970 -2.114 -2.664
Tm 0.671 -6.372 -2.705
! formation energy from the elements	0.378	eV per atom
! total DFT energy (no corrections)	-0.337	Ry/atom
! N(E_F)	7.50	states/eV/f.u.

Entry 8:
! Si3MoRh PBE-GGA relaxed; values from VASP
&SYSTEM
  ibrav = 0, nat = 5, ntyp = 3
/
ATOMIC_SPECIES
Mo 95.94 Mo.upf
Si 28.09 Si.upf
Rh 102.91 Rh.upf
CELL_PARAMETERS angstrom
4.630 0.000 0.000
0.000 4.630 0.000
0.000 0.000 4.630
ATOMIC_POSITIONS angstrom
Mo 0.000 0.000 0.000
Si 0.000 2.315 0.000
Rh 2.315 2.315 2.315
Si 0.000 0.000 2.315
Si 2.315 0.000 0.000
! distance to the lowest polymorph of the same formula	0	meV/atom
! formation energy (no corrections)	886	meV per atom
! total DFT energy (no corrections)	-0.441	Ry/atom
! N(E_F)	5.83	states/eV/f.u.

Entry 9:
! Cr2HgS4 PBE-GGA relaxed; values from VASP
&SYSTEM
  ibrav = 0, nat = 14, ntyp = 3
/
ATOMIC_SPECIES
S 32.06 S.upf
Cr 52.00 Cr.upf
Hg 200.59 Hg.upf
CELL_PARAMETERS angstrom
-4.137 3.168 -5.124
-1.045 -3.325 -6.423
-6.550 -2.790 -1.647
ATOMIC_POSITIONS angstrom
S -8.279 -3.897 -9.107
S -10.066 -2.529 -11.320
S -9.615 -1.093 -8.546
Cr -6.810 -0.180 -5.035
Cr -4.058 -0.447 -7.423
S -4.600 -1.155 -5.173
Cr -7.333 -1.842 -8.246
S -6.386 0.212 -7.385
Cr -5.264 -3.426 -5.685
Hg -2.933 -0.737 -3.299
S -5.051 -2.591 -7.946
S -7.237 -1.324 -10.609
Hg 0.000 0.000 0.000
S -7.428 -2.360 -5.884
! distance to the lowest polymorph of the same formula	0	meV/atom
! formation energy (no corrections)	-564	meV per atom
! total DFT energy (no corrections)	-0.420	Ry/atom
! N(E_F)	1.66	states/eV/f.u.

Entry 10:
! SrZn2Ni PBE-GGA relaxed; values from VASP
&SYSTEM
  ibrav = 0, nat = 4, ntyp = 3
/
ATOMIC_SPECIES
Zn 65.41 Zn.upf
Sr 87.62 Sr.upf
Ni 58.69 Ni.upf
CELL_PARAMETERS angstrom
-4.181 -2.323 -0.396
1.927 -3.710 2.358
0.095 4.368 1.987
ATOMIC_POSITIONS angstrom
Zn 0.447 -1.179 2.663
Sr -2.606 -0.486 1.286
Ni -1.127 -3.017 0.981
Zn 0.000 0.000 0.000
! formation energy from the elements	0.120	eV per atom
! total DFT energy (no corrections)	-0.175	Ry/atom
! N(E_F)	2.00	states/eV/f.u.

Entry 11:
! GaNiSb PBE-GGA relaxed; values from VASP
&SYSTEM
  ibrav = 0, nat = 3, ntyp = 3
/
ATOMIC_SPECIES
Sb 121.76 Sb.upf
Ni 58.69 Ni.upf
Ga 69.72 Ga.upf
CELL_PARAMETERS angstrom
-3.152 -2.849 0.345
-1.032 -1.584 3.820
-3.681 1.107 1.842
ATOMIC_POSITIONS angstrom
Sb 0.000 0.000 0.000
Ni -1.966 -0.831 1.502
Ga -3.933 -1.663 3.004
! formation energy (no corrections)	-239	meV per atom
! total DFT energy (no corrections)	-0.334	Ry/atom
! N(E_F)	0.93	states/eV/f.u.

Entry 12:
! NiSnSN2 PBE-GGA relaxed; values from VASP
&SYSTEM
  ibrav = 0, nat = 5, ntyp = 4
/
ATOMIC_SPECIES
S 32.06 S.upf
Ni 58.69 Ni.upf
Sn 118.71 Sn.upf
N 14.01 N.upf
CELL_PARAMETERS angstrom
4.055 0.000 0.000
0.000 4.055 0.000
0.000 0.000 5.308
ATOMIC_POSITIONS angstrom
S 0.000 0.000 2.654
Ni 2.027 2.027 2.654
Sn 0.000 0.000 0.000
N 0.000 2.027 0.000
N 2.027 0.000 0.000
! distance to the lowest polymorph of the same formula	544	meV/atom
! formation energy (no corrections)	1539	meV per atom
! total DFT energy (no corrections)	-0.336	Ry/atom
! N(E_F)	4.37	states/eV/f.u.

Entry 13:
! Ce2Ho2Ru3 PBE-GGA relaxed; values from VASP
&SYSTEM
  ibrav = 0, nat = 7, ntyp = 3
/
ATOMIC_SPECIES
Ce 140.12 Ce.upf
Ru 101.07 Ru.upf
Ho 164.93 Ho.upf
CELL_PARAMETERS angstrom
4.661 -0.004 0.001
-2.325 5.446 -0.301
-0.004 -1.052 6.843
ATOMIC_POSITIONS angstrom
Ce 0.001 1.015 2.452
Ru 2.333 3.211 1.818
Ho 2.328 0.501 6.195
Ru -0.001 1.179 4.725
Ho 0.004 3.889 0.347
Ce 2.331 3.375 4.090
Ru 0.000 0.000 0.000
! distance to the lowest polymorph of the same formula	6	meV/atom
! formation energy from the elements	-0.348	eV per atom
! total DFT energy (no corrections)	-0.539	Ry/atom
! N(E_F)	5.06	states/eV/f.u.

Entry 14:
! Ag2BrCl PBE-GGA relaxed; values from VASP
&SYSTEM
  ibrav = 0, nat = 4, ntyp = 3
/
ATOMIC_SPECIES
Br 79.90 Br.upf
Ag 107.87 Ag.upf
Cl 35.45 Cl.upf
CELL_PARAMETERS angstrom
6.681 0.168 0.011
5.514 3.777 0.011
-0.001 0.000 3.906
ATOMIC_POSITIONS angstrom
Br 5.762 1.864 1.478
Ag 3.118 1.009 1.469
Cl 8.840 2.860 3.434
Ag 0.569 0.184 3.418
! distance to the lowest polymorph of the same formula	64	meV/atom
! formation energy (no corrections)	-325	meV per atom
! total DFT energy (no corrections)	-0.193	Ry/atom
! N(E_F)	0.02	states/eV/f.u.

Entry 15:
! SiGe2RhBr PBE-GGA relaxed; values from VASP
&SYSTEM
  ibrav = 0, nat = 5, ntyp = 4
/
ATOMIC_SPECIES
Ge 72.64 Ge.upf
Rh 102.91 Rh.upf
Si 28.09 Si.upf
Br 79.90 Br.upf
CELL_PARAMETERS angstrom
-2.311 3.439 -2.835
0.929 -2.642 -3.962
-4.352 -2.430 0.600
ATOMIC_POSITIONS angstrom
Ge -1.156 1.720 -1.417
Rh -2.867 -0.816 -3.098
Si 0.464 -1.321 -1.981
Br 0.000 0.000 0.000
Ge -2.176 -1.215 0.300
! distance to the lowest polymorph of the same formula	906	meV/atom
! formation energy (no corrections)	1451	meV per atom
! total DFT energy (no corrections)	-0.241	Ry/atom
! N(E_F)	5.60	states/eV/f.u.

Entry 16:
! V2Cd2As PBE-GGA relaxed; values from VASP
&SYSTEM
  ibrav = 0, nat = 10, ntyp = 3
/
ATOMIC_SPECIES
Cd 112.41 Cd.upf
V 50.94 V.upf
As 74.92 As.upf
CELL_PARAMETERS angstrom
6.250 0.000 0.000
0.000 6.250 0.000
0.000 0.000 4.609
ATOMIC_POSITIONS angstrom
Cd 2.109 1.016 2.305
Cd 4.141 5.234 2.305
Cd 1.016 4.141 2.305
V 4.004 0.879 0.000
As 3.125 3.125 0.000
V 2.246 5.370 0.000
V 5.370 4.004 0.000
Cd 5.234 2.109 2.305
As 0.000 0.000 0.000
V 0.879 2.246 0.000
! formation energy from the elements	0.048	eV per atom
! total DFT energy (no corrections)	-0.360	Ry/atom
! N(E_F)	4.39	states/eV/f.u.

Entry 17:
! Na2NdGaS4 PBE-GGA relaxed; values from VASP
&SYSTEM
  ibrav = 0, nat = 16, ntyp = 4
/
ATOMIC_SPECIES
S 32.06 S.upf
Ga 69.72 Ga.upf
Na 22.99 Na.upf
Nd 144.24 Nd.upf
CELL_PARAMETERS angstrom
7.942 -0.047 -0.261
-0.052 7.942 -0.261
-4.081 -4.084 5.849
ATOMIC_POSITIONS angstrom
S 3.841 -0.030 2.665
S 1.791 1.769 0.124
Ga 3.861 -4.130 5.588
S 0.136 0.113 2.540
Na 3.945 3.947 -0.261
S -2.196 1.922 5.587
Nd 5.875 1.882 2.533
Na 3.971 -0.023 -0.130
Na 1.930 -2.065 2.794
S 3.672 3.698 2.788
S -0.033 3.841 2.662
S 6.005 1.889 -0.259
S 2.017 2.042 5.203
Na -2.040 -2.042 2.925
Ga 1.904 1.906 2.664
Nd -0.026 3.971 -0.130
! formation energy (no corrections)	-1224	meV per atom
! total DFT energy (no corrections)	-0.338	Ry/atom

Entry 18:
! KTa2MnCl PBE-GGA relaxed; values from VASP
&SYSTEM
  ibrav = 0, nat = 5, ntyp = 4
/
ATOMIC_SPECIES
Ta 180.95 Ta.upf
Cl 35.45 Cl.upf
K 39.10 K.upf
Mn 54.94 Mn.upf
CELL_PARAMETERS angstrom
4.810 0.000 0.000
0.000 4.965 0.000
0.000 0.000 4.810
ATOMIC_POSITIONS angstrom
Ta 0.000 0.000 2.405
Cl 0.000 2.482 0.000
K 0.000 0.000 0.000
Mn 2.405 2.482 2.405
Ta 2.405 0.000 0.000
! formation energy (no corrections)	3155	meV per atom
! total DFT energy (no corrections)	-0.295	Ry/atom
! N(E_F)	9.54	states/eV/f.u.

Entry 19:
! Tm4ZnCu2Ir PBE-GGA relaxed; values from VASP
&SYSTEM
  ibrav = 0, nat = 8, ntyp = 4
/
ATOMIC_SPECIES
Cu 63.55 Cu.upf
Ir 192.22 Ir.upf
Tm 168.93 Tm.upf
Zn 65.41 Zn.upf
CELL_PARAMETERS angstrom
4.853 0.000 0.000
2.427 4.203 0.000
2.427 1.401 7.946
ATOMIC_POSITIONS angstrom
Cu 2.427 1.401 1.854
Ir 4.853 2.802 3.973
Tm 4.853 2.802 6.852
Cu 7.280 4.203 6.092
Tm 4.853 2.802 1.095
Tm 2.427 1.401 4.882
Tm 7.280 4.203 3.065
Zn 0.000 0.000 0.000
! formation energy from the elements	-0.513	eV per atom
! total DFT energy (no corrections)	-0.370	Ry/atom
! N(E_F)	4.89	states/eV/f.u.

Entry 20:
! ZnWC PBE-GGA relaxed; values from VASP
&SYSTEM
  ibrav = 0, nat = 6, ntyp = 3
/
ATOMIC_SPECIES
C 12.01 C.upf
Zn 65.41 Zn.upf
W 183.84 W.upf
CELL_PARAMETERS angstrom
3.052 0.000 0.000
1.526 2.643 0.000
1.526 0.881 12.470
ATOMIC_POSITIONS angstrom
C 1.526 0.881 1.911
C 4.578 2.643 10.558
Zn 1.526 0.881 7.349
Zn 4.578 2.643 5.121
W 3.052 1.762 9.632
W 3.052 1.762 2.837
! formation energy from the elements	0.704	eV per atom
! total DFT energy (no corrections)	-0.523	Ry/atom
! N(E_F)	1.22	states/eV/f.u.

Entry 21:
! GaNiMoRu PBE-GGA relaxed; values from VASP
&SYSTEM
  ibrav = 0, nat = 4, ntyp = 4
/
ATOMIC_SPECIES
Ru 101.07 Ru.upf
Ga 69.72 Ga.upf
Ni 58.69 Ni.upf
Mo 95.94 Mo.upf
CELL_PARAMETERS angstrom
4.288 0.000 0.000
2.144 3.713 0.000
2.144 1.238 3.501
ATOMIC_POSITIONS angstrom
Ru 2.144 1.238 0.875
Ga 0.000 0.000 0.000
Ni 6.432 3.713 2.626
Mo 4.288 2.476 1.750
! formation energy from the elements	-0.061	eV per atom
! total DFT energy (no corrections)	-0.536	Ry/atom
! N(E_F)	5.08	states/eV/f.u.

Entry 22:
! CaAcEr2Se4 PBE-GGA relaxed; values from VASP
&SYSTEM
  ibrav = 0, nat = 8, ntyp = 4
/
ATOMIC_SPECIES
Ca 40.08 Ca.upf
Er 167.26 Er.upf
Se 78.96 Se.upf
Ac 227.00 Ac.upf
CELL_PARAMETERS angstrom
4.151 0.000 0.000
0.000 7.292 -0.184
0.000 2.529 6.817
ATOMIC_POSITIONS angstrom
Ca 0.000 4.910 3.316
Er 0.000 2.529 6.817
Se 4.151 2.333 1.787
Er 2.076 1.264 3.409
Se 2.076 6.232 1.588
Ac 2.076 3.646 -0.092
Se 0.000 7.488 4.845
Se 2.076 3.589 5.044
! formation energy (no corrections)	-1789	meV per atom
! total DFT energy (no corrections)	-0.400	Ry/atom
! N(E_F)	3.27	states/eV/f.u.

Entry 23:
! Sr2CeZn PBE-GGA relaxed; values from VASP
&SYSTEM
  ibrav = 0, nat = 4, ntyp = 3
/
ATOMIC_SPECIES
Zn 65.41 Zn.upf
Sr 87.62 Sr.upf
Ce 140.12 Ce.upf
CELL_PARAMETERS angstrom
-2.550 -1.855 2.105
1.110 -1.891 3.093
-2.193 8.725 8.445
ATOMIC_POSITIONS angstrom
Zn -1.816 2.489 6.822
Sr -1.677 5.724 6.425
Ce 0.000 0.000 0.000
Sr -1.955 -0.745 7.218
! formation energy from the elements	0.325	eV per atom
! total DFT energy (no corrections)	-0.170	Ry/atom
! N(E_F)	9.69	states/eV/f.u.

Entry 24:
! MgScAs2Se PBE-GGA relaxed; values from VASP
&SYSTEM
  ibrav = 0, nat = 5, ntyp = 4
/
ATOMIC_SPECIES
Se 78.96 Se.upf
As 74.92 As.upf
Sc 44.96 Sc.upf
Mg 24.30 Mg.upf
CELL_PARAMETERS angstrom
-4.193 -0.799 -2.365
-1.870 -2.057 4.011
-1.707 4.492 1.508
ATOMIC_POSITIONS angstrom
Se -0.853 2.246 0.754
As -0.935 -1.029 2.005
Sc -3.885 0.818 1.577
Mg 0.000 0.000 0.000
As -2.097 -0.399 -1.183
! distance to the lowest polymorph of the same formula	209	meV/atom
! formation energy (no corrections)	106	meV per atom
! total DFT energy (no corrections)	-0.297	Ry/atom
! N(E_F)	3.96	states/eV/f.u.

Entry 25:
! La2MgAl4Ga3 PBE-GGA relaxed; values from VASP
&SYSTEM
  ibrav = 0, nat = 10, ntyp = 4
/
ATOMIC_SPECIES
Al 26.98 Al.upf
La 138.91 La.upf
Mg 24.30 Mg.upf
Ga 69.72 Ga.upf
CELL_PARAMETERS angstrom
4.350 0.000 0.000
0.000 4.350 0.000
0.000 0.000 11.293
ATOMIC_POSITIONS angstrom
Al 0.000 0.000 0.000
Al 0.000 2.175 4.033
La 2.175 0.000 2.768
Mg 2.175 2.175 5.647
Ga 0.000 0.000 5.647
Ga 2.175 0.000 9.791
Ga 0.000 2.175 1.502
Al 2.175 0.000 7.260
Al 2.175 2.175 0.000
La 0.000 2.175 8.526
! formation energy from the elements	-0.423	eV per atom
! total DFT energy (no corrections)	-0.292	Ry/atom
! N(E_F)	4.66	states/eV/f.u.

Entry 26:
! GeICl3 PBE-GGA relaxed; values from VASP
&SYSTEM
  ibrav = 0, nat = 5, ntyp = 3
/
ATOMIC_SPECIES
I 126.90 I.upf
Cl 35.45 Cl.upf
Ge 72.64 Ge.upf
CELL_PARAMETERS angstrom
-4.479 -0.319 2.543
-2.410 -1.214 -4.398
0.870 -5.005 0.905
ATOMIC_POSITIONS angstrom
I -3.010 -3.269 -0.475
Cl -1.205 -0.607 -2.199
Ge 0.000 0.000 0.000
Cl -2.239 -0.159 1.271
Cl 0.435 -2.502 0.453
! distance to the lowest polymorph of the same formula	539	meV/atom
! formation energy (no corrections)	-221	meV per atom
! total DFT energy (no corrections)	-0.188	Ry/atom
! N(E_F)	4.64	states/eV/f.u.